# 1
# Na2LaCeS4 | Alexandria | PBE | optimized geometry
data_Na2LaCeS4
_space_group_name_H-M_alt 'P 1'
_space_group_IT_number 1
_cell_length_a 7.077
_cell_length_b 4.192
_cell_length_c 7.259
_cell_angle_alpha 90.00
_cell_angle_beta 109.99
_cell_angle_gamma 90.00
loop_
_space_group_symop_operation_xyz
'x,y,z'
loop_
_atom_site_label
_atom_site_type_symbol
_atom_site_fract_x
_atom_site_fract_y
_atom_site_fract_z
Na1 Na 0.000 0.000 0.000
Na2 Na 0.000 0.500 0.500
La1 La 0.500 0.000 0.500
Ce1 Ce 0.500 0.500 0.000
S1 S 0.266 0.500 0.252
S2 S 0.267 0.000 0.760
S3 S 0.733 0.000 0.240
S4 S 0.734 0.500 0.748
# - Formation energy from raw total energies: -1792 meV/atom
# - Total magnetic moment: 1.01 Bohr magnetons per cell
# - Symmetry: P2/m
# - D(E_F): 5.77 states/eV per cell



# 2
# NaLa3Ce2Se6 | Alexandria | PBE | optimized geometry
data_NaLa3Ce2Se6
_space_group_name_H-M_alt 'P 1'
_space_group_IT_number 1
_cell_length_a 7.410
_cell_length_b 7.410
_cell_length_c 7.391
_cell_angle_alpha 99.65
_cell_angle_beta 99.65
_cell_angle_gamma 120.06
loop_
_space_group_symop_operation_xyz
'x,y,z'
loop_
_atom_site_label
_atom_site_type_symbol
_atom_site_fract_x
_atom_site_fract_y
_atom_site_fract_z
Na1 Na 0.000 0.000 0.000
La1 La 0.165 0.835 0.500
La2 La 0.500 0.500 0.500
La3 La 0.835 0.165 0.500
Ce1 Ce 0.334 0.666 0.000
Ce2 Ce 0.666 0.334 0.000
Se1 Se 0.081 0.414 0.244
Se2 Se 0.252 0.252 0.759
Se3 Se 0.414 0.081 0.244
Se4 Se 0.586 0.919 0.756
Se5 Se 0.748 0.748 0.241
Se6 Se 0.919 0.586 0.756
# - Formation energy from raw total energies: -1840 meV/atom
# - Total magnetic moment: 2.27 Bohr magnetons per cell
# - Symmetry: C2/m
# - D(E_F): 16.89 states/eV per cell



# 3
# NaLa2CeSe4 | Alexandria | PBE | optimized geometry
data_NaLa2CeSe4
_space_group_name_H-M_alt 'P 1'
_space_group_IT_number 1
_cell_length_a 7.397
_cell_length_b 4.279
_cell_length_c 7.444
_cell_angle_alpha 90.00
_cell_angle_beta 109.44
_cell_angle_gamma 90.00
loop_
_space_group_symop_operation_xyz
'x,y,z'
loop_
_atom_site_label
_atom_site_type_symbol
_atom_site_fract_x
_atom_site_fract_y
_atom_site_fract_z
Na1 Na 0.000 0.000 0.000
La1 La 0.500 0.000 0.500
La2 La 0.500 0.500 0.000
Ce1 Ce 0.000 0.500 0.500
Se1 Se 0.244 0.000 0.749
Se2 Se 0.247 0.500 0.251
Se3 Se 0.753 0.500 0.749
Se4 Se 0.756 0.000 0.251
# - Formation energy from raw total energies: -1815 meV/atom
# - Total magnetic moment: 1.33 Bohr magnetons per cell
# - Symmetry: P2/m
# - D(E_F): 8.29 states/eV per cell



# 4
# Na3La2CeSe6 | Alexandria | PBE | optimized geometry
data_Na3La2CeSe6
_space_group_name_H-M_alt 'P 1'
_space_group_IT_number 1
_cell_length_a 7.553
_cell_length_b 7.553
_cell_length_c 7.398
_cell_angle_alpha 99.80
_cell_angle_beta 99.80
_cell_angle_gamma 120.00
loop_
_space_group_symop_operation_xyz
'x,y,z'
loop_
_atom_site_label
_atom_site_type_symbol
_atom_site_fract_x
_atom_site_fract_y
_atom_site_fract_z
Na1 Na 0.000 0.000 0.000
Na2 Na 0.333 0.667 0.000
Na3 Na 0.667 0.333 0.000
La1 La 0.167 0.833 0.500
La2 La 0.833 0.167 0.500
Ce1 Ce 0.500 0.500 0.500
Se1 Se 0.091 0.421 0.263
Se2 Se 0.249 0.249 0.736
Se3 Se 0.421 0.091 0.263
Se4 Se 0.579 0.909 0.737
Se5 Se 0.751 0.751 0.264
Se6 Se 0.909 0.579 0.737
# - Formation energy from raw total energies: -1709 meV/atom
# - Total magnetic moment: 1.01 Bohr magnetons per cell
# - Symmetry: C2/m
# - D(E_F): 5.37 states/eV per cell



# 5
# Na2LaCeSe4 | Alexandria | PBE | optimized geometry
data_Na2LaCeSe4
_space_group_name_H-M_alt 'P 1'
_space_group_IT_number 1
_cell_length_a 7.393
_cell_length_b 4.349
_cell_length_c 7.529
_cell_angle_alpha 90.00
_cell_angle_beta 109.84
_cell_angle_gamma 90.00
loop_
_space_group_symop_operation_xyz
'x,y,z'
loop_
_atom_site_label
_atom_site_type_symbol
_atom_site_fract_x
_atom_site_fract_y
_atom_site_fract_z
Na1 Na 0.000 0.000 0.000
Na2 Na 0.000 0.500 0.500
La1 La 0.500 0.000 0.500
Ce1 Ce 0.500 0.500 0.000
Se1 Se 0.263 0.500 0.251
Se2 Se 0.264 0.000 0.758
Se3 Se 0.736 0.000 0.242
Se4 Se 0.737 0.500 0.749
# - Formation energy from raw total energies: -1686 meV/atom
# - Total magnetic moment: 1.01 Bohr magnetons per cell
# - Symmetry: P2/m
# - D(E_F): 5.88 states/eV per cell



# 6
# NaLa2Ce3Se6 | Alexandria | PBE | optimized geometry
data_NaLa2Ce3Se6
_space_group_name_H-M_alt 'P 1'
_space_group_IT_number 1
_cell_length_a 9.552
_cell_length_b 9.552
_cell_length_c 8.561
_cell_angle_alpha 103.53
_cell_angle_beta 103.53
_cell_angle_gamma 25.63
loop_
_space_group_symop_operation_xyz
'x,y,z'
loop_
_atom_site_label
_atom_site_type_symbol
_atom_site_fract_x
_atom_site_fract_y
_atom_site_fract_z
Na1 Na 0.000 0.000 0.000
La1 La 0.333 0.333 0.665
La2 La 0.667 0.667 0.335
Ce1 Ce 0.000 0.000 0.500
Ce2 Ce 0.334 0.334 0.169
Ce3 Ce 0.666 0.666 0.831
Se1 Se 0.164 0.164 0.586
Se2 Se 0.166 0.166 0.078
Se3 Se 0.499 0.499 0.252
Se4 Se 0.501 0.501 0.748
Se5 Se 0.834 0.834 0.922
Se6 Se 0.836 0.836 0.414
# - Formation energy from raw total energies: -1810 meV/atom
# - Total magnetic moment: 3.36 Bohr magnetons per cell
# - Symmetry: C2/m
# - D(E_F): 20.95 states/eV per cell



# 7
# NaLa3Ce2Te6 | Alexandria | PBE | optimized geometry
data_NaLa3Ce2Te6
_space_group_name_H-M_alt 'P 1'
_space_group_IT_number 1
_cell_length_a 10.180
_cell_length_b 10.180
_cell_length_c 9.139
_cell_angle_alpha 102.67
_cell_angle_beta 102.67
_cell_angle_gamma 25.73
loop_
_space_group_symop_operation_xyz
'x,y,z'
loop_
_atom_site_label
_atom_site_type_symbol
_atom_site_fract_x
_atom_site_fract_y
_atom_site_fract_z
Na1 Na 0.000 0.000 0.000
La1 La 0.000 0.000 0.500
La2 La 0.334 0.334 0.170
La3 La 0.666 0.666 0.830
Ce1 Ce 0.332 0.332 0.663
Ce2 Ce 0.668 0.668 0.337
Te1 Te 0.165 0.165 0.086
Te2 Te 0.167 0.167 0.581
Te3 Te 0.498 0.498 0.753
Te4 Te 0.502 0.502 0.247
Te5 Te 0.833 0.833 0.419
Te6 Te 0.835 0.835 0.914
# - Formation energy from raw total energies: -1451 meV/atom
# - Total magnetic moment: 2.53 Bohr magnetons per cell
# - Symmetry: C2/m
# - D(E_F): 18.33 states/eV per cell



# 8
# NaLa4Ce3Te8 | Alexandria | PBE | optimized geometry
data_NaLa4Ce3Te8
_space_group_name_H-M_alt 'P 1'
_space_group_IT_number 1
_cell_length_a 9.104
_cell_length_b 9.104
_cell_length_c 9.104
_cell_angle_alpha 59.94
_cell_angle_beta 59.94
_cell_angle_gamma 59.94
loop_
_space_group_symop_operation_xyz
'x,y,z'
loop_
_atom_site_label
_atom_site_type_symbol
_atom_site_fract_x
_atom_site_fract_y
_atom_site_fract_z
Na1 Na 0.000 0.000 0.000
La1 La 0.000 0.000 0.500
La2 La 0.000 0.500 0.000
La3 La 0.500 0.000 0.000
La4 La 0.500 0.500 0.500
Ce1 Ce 0.000 0.500 0.500
Ce2 Ce 0.500 0.000 0.500
Ce3 Ce 0.500 0.500 0.000
Te1 Te 0.247 0.247 0.750
Te2 Te 0.247 0.750 0.247
Te3 Te 0.250 0.753 0.753
Te4 Te 0.252 0.252 0.252
Te5 Te 0.748 0.748 0.748
Te6 Te 0.750 0.247 0.247
Te7 Te 0.753 0.250 0.753
Te8 Te 0.753 0.753 0.250
# - Formation energy from raw total energies: -1457 meV/atom
# - Total magnetic moment: 4.06 Bohr magnetons per cell
# - Symmetry: R-3m
# - D(E_F): 27.24 states/eV per cell



# 9
# Na3LaCe2Te6 | Alexandria | PBE | optimized geometry
data_Na3LaCe2Te6
_space_group_name_H-M_alt 'P 1'
_space_group_IT_number 1
_cell_length_a 7.980
_cell_length_b 7.980
_cell_length_c 7.954
_cell_angle_alpha 99.64
_cell_angle_beta 99.64
_cell_angle_gamma 119.99
loop_
_space_group_symop_operation_xyz
'x,y,z'
loop_
_atom_site_label
_atom_site_type_symbol
_atom_site_fract_x
_atom_site_fract_y
_atom_site_fract_z
Na1 Na 0.000 0.000 0.000
Na2 Na 0.334 0.666 0.000
Na3 Na 0.666 0.334 0.000
La1 La 0.500 0.500 0.500
Ce1 Ce 0.167 0.833 0.500
Ce2 Ce 0.833 0.167 0.500
Te1 Te 0.084 0.420 0.260
Te2 Te 0.244 0.244 0.740
Te3 Te 0.420 0.084 0.260
Te4 Te 0.580 0.916 0.740
Te5 Te 0.756 0.756 0.260
Te6 Te 0.916 0.580 0.740
# - Formation energy from raw total energies: -1307 meV/atom
# - Total magnetic moment: 2.01 Bohr magnetons per cell
# - Symmetry: C2/m
# - D(E_F): 12.94 states/eV per cell



# 10
# La2CeNb | Alexandria | PBE | optimized geometry
data_La2CeNb
_space_group_name_H-M_alt 'P 1'
_space_group_IT_number 1
_cell_length_a 12.133
_cell_length_b 12.133
_cell_length_c 12.133
_cell_angle_alpha 15.36
_cell_angle_beta 15.36
_cell_angle_gamma 15.36
loop_
_space_group_symop_operation_xyz
'x,y,z'
loop_
_atom_site_label
_atom_site_type_symbol
_atom_site_fract_x
_atom_site_fract_y
_atom_site_fract_z
La1 La 0.081 0.081 0.081
La2 La 0.919 0.919 0.919
Ce1 Ce 0.500 0.500 0.500
Nb1 Nb 0.000 0.000 0.000
# - ΔH_f (0 K): 0.558 eV/atom
# - Total magnetic moment: 0.00 Bohr magnetons per cell
# - Symmetry: R-3m
# - D(E_F): 7.94 states/eV per cell



# 11
# LaCe2Nb | Alexandria | PBE | optimized geometry
data_LaCe2Nb
_space_group_name_H-M_alt 'P 1'
_space_group_IT_number 1
_cell_length_a 11.852
_cell_length_b 11.852
_cell_length_c 11.852
_cell_angle_alpha 15.42
_cell_angle_beta 15.42
_cell_angle_gamma 15.42
loop_
_space_group_symop_operation_xyz
'x,y,z'
loop_
_atom_site_label
_atom_site_type_symbol
_atom_site_fract_x
_atom_site_fract_y
_atom_site_fract_z
La1 La 0.000 0.000 0.000
Ce1 Ce 0.421 0.421 0.421
Ce2 Ce 0.579 0.579 0.579
Nb1 Nb 0.500 0.500 0.500
# - ΔH_f (0 K): 0.454 eV/atom
# - Total magnetic moment: 0.00 Bohr magnetons per cell
# - Symmetry: R-3m
# - D(E_F): 9.10 states/eV per cell



# 12
# LaCe2Nd | Alexandria | PBE | optimized geometry
data_LaCe2Nd
_space_group_name_H-M_alt 'P 1'
_space_group_IT_number 1
_cell_length_a 12.500
_cell_length_b 12.500
_cell_length_c 12.500
_cell_angle_alpha 15.73
_cell_angle_beta 15.73
_cell_angle_gamma 15.73
loop_
_space_group_symop_operation_xyz
'x,y,z'
loop_
_atom_site_label
_atom_site_type_symbol
_atom_site_fract_x
_atom_site_fract_y
_atom_site_fract_z
La1 La 0.000 0.000 0.000
Ce1 Ce 0.086 0.086 0.086
Ce2 Ce 0.914 0.914 0.914
Nd1 Nd 0.500 0.500 0.500
# - ΔH_f (0 K): 0.215 eV/atom
# - Total magnetic moment: 1.08 Bohr magnetons per cell
# - Offset from the most stable computed form: 102.1 meV per atom
# - Symmetry: R-3m
# - D(E_F): 9.98 states/eV per cell